[1]
LaHgSb2I: optimized geometry, GGA-PBE.

Formation energy (no corrections) ... 0.10 eV/f.u.
Symmetry ... P4/mmm
Excess energy over the best structure of this formula in the dataset ... 0 meV per atom

Structure (POSCAR):
```
LaHgSb2I
1.0
5.449 0.000 0.000
0.000 5.449 0.000
0.000 0.000 6.050
La Hg Sb I
1 1 2 1
Direct
0.000 0.000 0.000
0.500 0.500 0.500
0.000 0.500 0.500
0.500 0.000 0.500
0.500 0.500 0.000
```

[2]
BaCaLaBiO6: optimized geometry, GGA-PBE.

Formation energy (no corrections) ... -22.02 eV/f.u.
Symmetry ... F-43m
Excess energy over the best structure of this formula in the dataset ... 148 meV per atom

Structure (POSCAR):
```
BaCaLaBiO6
1.0
0.000 4.304 4.304
4.304 0.000 4.304
4.304 4.304 0.000
Ba Ca La Bi O
1 1 1 1 6
Direct
0.000 0.000 0.000
0.750 0.750 0.750
0.500 0.500 0.500
0.250 0.250 0.250
0.007 0.007 0.493
0.007 0.493 0.007
0.007 0.493 0.493
0.493 0.007 0.007
0.493 0.007 0.493
0.493 0.493 0.007
```

[3]
La2Y2Tm15: optimized geometry, GGA-PBE.

Total DFT energy (no corrections) ... -84.64 eV per cell
Symmetry ... R-3m

Structure (POSCAR):
```
La2Y2Tm15
1.0
5.570 3.216 5.784
-5.570 3.216 5.784
0.000 -6.431 5.784
La Y Tm
2 2 15
Direct
0.118 0.118 0.118
0.882 0.882 0.882
0.332 0.332 0.332
0.668 0.668 0.668
0.000 0.000 0.500
0.000 0.307 0.693
0.000 0.500 0.000
0.000 0.693 0.307
0.154 0.633 0.633
0.307 0.000 0.693
0.307 0.693 0.000
0.367 0.367 0.846
0.367 0.846 0.367
0.500 0.000 0.000
0.633 0.154 0.633
0.633 0.633 0.154
0.693 0.000 0.307
0.693 0.307 0.000
0.846 0.367 0.367
```

[4]
BeSe3: optimized geometry, GGA-PBE.

Formation energy (no corrections) ... 2.58 eV/f.u.
Symmetry ... P4/mmm
Excess energy over the best structure of this formula in the dataset ... 705 meV per atom

Structure (POSCAR):
```
BeSe3
1.0
4.702 0.000 0.000
0.000 4.702 0.000
0.000 0.000 3.292
Be Se
1 3
Direct
0.000 0.000 0.000
0.000 0.500 0.500
0.500 0.000 0.500
0.500 0.500 0.000
```

[5]
TbY12Er2: optimized geometry, GGA-PBE.

Total DFT energy (no corrections) ... -172.28 eV per cell
Symmetry ... P4/nbm

Structure (POSCAR):
```
TbY12Er2
1.0
6.409 0.000 0.000
0.000 6.409 0.000
0.000 0.000 25.123
Tb Y Er
2 24 4
Direct
0.250 0.750 0.000
0.750 0.250 0.000
0.067 0.567 0.116
0.067 0.933 0.884
0.081 0.581 0.439
0.081 0.919 0.561
0.250 0.250 0.216
0.250 0.250 0.339
0.250 0.250 0.661
0.250 0.250 0.784
0.419 0.581 0.561
0.419 0.919 0.439
0.433 0.567 0.884
0.433 0.933 0.116
0.567 0.067 0.884
0.567 0.433 0.116
0.581 0.081 0.561
0.581 0.419 0.439
0.750 0.750 0.216
0.750 0.750 0.339
0.750 0.750 0.661
0.750 0.750 0.784
0.919 0.081 0.439
0.919 0.419 0.561
0.933 0.067 0.116
0.933 0.433 0.884
0.250 0.750 0.275
0.250 0.750 0.725
0.750 0.250 0.275
0.750 0.250 0.725
```

[6]
NbSbTe2H: optimized geometry, GGA-PBE.

Symmetry ... P4/mmm
Excess energy over the best structure of this formula in the dataset ... 0 meV per atom

Structure (POSCAR):
```
NbSbTe2H
1.0
5.226 0.000 0.000
0.000 5.226 0.000
0.000 0.000 3.734
Nb Sb Te H
1 1 2 1
Direct
0.000 0.000 0.000
0.500 0.500 0.000
0.000 0.500 0.500
0.500 0.000 0.500
0.500 0.500 0.500
```

[7]
Ta5Sb: optimized geometry, GGA-PBE.

Formation energy (no corrections) ... -0.15 eV/f.u.
Symmetry ... Cmmm
Excess energy over the best structure of this formula in the dataset ... 0 meV per atom

Structure (POSCAR):
```
Ta5Sb
1.0
2.304 -6.860 0.000
2.304 6.860 0.000
0.000 0.000 3.540
Ta Sb
5 1
Direct
0.000 0.000 0.000
0.163 0.837 0.500
0.328 0.672 0.000
0.672 0.328 0.000
0.837 0.163 0.500
0.500 0.500 0.500
```

[8]
PtN: optimized geometry, GGA-PBE.

Formation energy (no corrections) ... 1.85 eV/f.u.
Symmetry ... Cmmm

Structure (POSCAR):
```
PtN
1.0
2.019 -2.032 0.000
2.019 2.032 0.000
0.000 0.000 3.678
Pt N
1 1
Direct
0.000 0.000 0.000
0.000 0.000 0.500
```

[9]
Mg2ScSnF: optimized geometry, GGA-PBE.

Formation energy (no corrections) ... -4.51 eV/f.u.
Symmetry ... P4/mmm

Structure (POSCAR):
```
Mg2ScSnF
1.0
4.239 0.000 0.000
0.000 4.239 0.000
0.000 0.000 5.647
Mg Sc Sn F
2 1 1 1
Direct
0.000 0.500 0.000
0.500 0.000 0.000
0.000 0.000 0.500
0.500 0.500 0.500
0.500 0.500 0.000
```

[10]
ThHg3: optimized geometry, GGA-PBE.

Total DFT energy (no corrections) ... -7.76 eV per cell
Symmetry ... I4/mmm

Structure (POSCAR):
```
ThHg3
1.0
-2.202 2.202 6.115
2.202 -2.202 6.115
2.202 2.202 -6.115
Th Hg
1 3
Direct
0.000 0.000 0.000
0.261 0.261 0.000
0.500 0.500 0.000
0.739 0.739 0.000
```

[11]
CrBTeAuI: optimized geometry, GGA-PBE.

Formation energy (no corrections) ... 1.12 eV/f.u.
Symmetry ... P1
Excess energy over the best structure of this formula in the dataset ... 47 meV per atom

Structure (POSCAR):
```
CrBTeAuI
1.0
3.406 0.000 0.000
1.699 5.063 0.000
0.095 2.516 7.428
Cr B Te Au I
1 1 1 1 1
Direct
0.000 0.000 0.000
0.387 0.226 0.019
0.587 0.810 0.269
0.752 0.493 0.048
0.970 0.082 0.658
```

[12]
SbRhW2: optimized geometry, GGA-PBE.

Formation energy (no corrections) ... 1.75 eV/f.u.
Symmetry ... P4/mmm

Structure (POSCAR):
```
SbRhW2
1.0
3.061 0.000 0.000
0.000 3.061 0.000
0.000 0.000 7.110
Sb Rh W
1 1 2
Direct
0.000 0.000 0.000
0.000 0.000 0.500
0.500 0.500 0.255
0.500 0.500 0.745
```